# 1
A plane-wave DFT calculation with PBE-GGA was carried out for a geometry-optimized CsHgCl3 structure.

Output
Energy above the lowest structure with this stoichiometry, eV/atom: 0.029

a b c (Å): 7.596 10.766 7.611
angles (deg): 90.00 90.00 90.00
Positions (direct):
Cl: 0.496 0.000 0.000
Cl: 0.249 0.252 0.249
Cl: 0.249 0.748 0.249
Cl: 0.749 0.248 0.251
Cl: 0.749 0.752 0.251
Cl: 0.996 0.500 0.500
Cl: 0.004 0.000 0.500
Cl: 0.251 0.252 0.749
Cl: 0.251 0.748 0.749
Cl: 0.751 0.248 0.751
Cl: 0.751 0.752 0.751
Cl: 0.504 0.500 0.000
Cs: 0.000 0.000 0.000
Cs: 0.000 0.500 0.000
Cs: 0.500 0.500 0.500
Cs: 0.500 0.000 0.500
Hg: 0.500 0.250 0.000
Hg: 0.500 0.750 0.000
Hg: 0.000 0.250 0.500
Hg: 0.000 0.750 0.500


# 2
A plane-wave DFT calculation with PBE-GGA was carried out for a geometry-optimized InHg3PbO4 structure.

Output
E_tot, eV per atom: -3.237

a b c (Å): 5.614 5.614 5.614
angles (deg): 90.00 90.00 90.00
Positions (direct):
Hg: 0.500 0.500 0.000
Hg: 0.500 0.000 0.500
Hg: 0.000 0.500 0.500
In: 0.000 0.000 0.000
O: 0.221 0.221 0.221
O: 0.779 0.779 0.221
O: 0.779 0.221 0.779
O: 0.221 0.779 0.779
Pb: 0.500 0.500 0.500


# 3
A plane-wave DFT calculation with PBE-GGA was carried out for a geometry-optimized LaNdIn2 structure.

Output
E_tot, eV per atom: -4.298

a b c (Å): 3.907 3.907 7.824
angles (deg): 90.00 90.00 90.00
Positions (direct):
In: 0.500 0.500 0.241
In: 0.500 0.500 0.759
La: 0.000 0.000 0.500
Nd: 0.000 0.000 0.000


# 4
A plane-wave DFT calculation with PBE-GGA was carried out for a geometry-optimized Zr2ScZn structure.

Output
Energy of formation from the pure elements, eV/atom: -0.03

a b c (Å): 4.975 6.285 6.285
angles (deg): 59.70 90.00 90.00
Positions (direct):
Sc: 0.000 0.339 0.339
Sc: 0.500 0.660 0.660
Zn: 0.000 0.826 0.337
Zn: 0.000 0.337 0.826
Zr: 0.500 0.154 0.154
Zr: 0.500 0.672 0.164
Zr: 0.500 0.164 0.672
Zr: 0.000 0.848 0.848


# 5
A plane-wave DFT calculation with PBE-GGA was carried out for a geometry-optimized YNiSnPd structure.

Output
E_tot, eV per atom: -5.961

a b c (Å): 4.718 4.718 4.718
angles (deg): 60.00 60.00 60.00
Positions (direct):
Ni: 0.750 0.750 0.750
Pd: 0.250 0.250 0.250
Sn: 0.000 0.000 0.000
Y: 0.500 0.500 0.500


# 6
A plane-wave DFT calculation with PBE-GGA was carried out for a geometry-optimized LuHfCuB structure.

Output
Energy above the lowest structure with this stoichiometry, eV/atom: 0.000

a b c (Å): 4.527 4.527 4.527
angles (deg): 60.00 60.00 60.00
Positions (direct):
B: 0.000 0.000 0.000
Cu: 0.750 0.750 0.750
Hf: 0.250 0.250 0.250
Lu: 0.500 0.500 0.500


# 7
A plane-wave DFT calculation with PBE-GGA was carried out for a geometry-optimized Rb2Co2PdS4 structure.

Output
Energy above the lowest structure with this stoichiometry, eV/atom: 0.012

a b c (Å): 8.731 7.593 5.931
angles (deg): 79.38 58.73 41.89
Site moments in Bohr magnetons follow the coordinates.
Positions (direct):
Co: 0.500 0.500 0.000  0.91
Co: 0.000 0.000 0.500  0.98
Pd: 0.000 0.000 0.000  0.03
Rb: 0.658 0.658 0.342  0.00
Rb: 0.342 0.342 0.658  0.00
S: 0.282 0.931 0.069  0.02
S: 0.069 0.718 0.282  0.03
S: 0.931 0.282 0.718  0.03
S: 0.718 0.069 0.931  0.02


# 8
A plane-wave DFT calculation with PBE-GGA was carried out for a geometry-optimized Th2GaPt6 structure.

Output
E_tot, eV per atom: -7.070

a b c (Å): 5.774 5.774 5.987
angles (deg): 90.01 90.01 60.00
Positions (direct):
Ga: 0.000 0.000 0.000
Pt: 0.827 0.827 0.309
Pt: 0.827 0.347 0.309
Pt: 0.347 0.827 0.309
Pt: 0.653 0.173 0.691
Pt: 0.173 0.653 0.691
Pt: 0.173 0.173 0.691
Th: 0.333 0.333 0.178
Th: 0.667 0.667 0.822


# 9
A plane-wave DFT calculation with PBE-GGA was carried out for a geometry-optimized CuSiNiIr structure.

Output
Energy above the lowest structure with this stoichiometry, eV/atom: 0.000

a b c (Å): 4.117 4.117 4.117
angles (deg): 60.00 60.00 60.00
Positions (direct):
Cu: 0.750 0.750 0.750
Ir: 0.250 0.250 0.250
Ni: 0.500 0.500 0.500
Si: 0.000 0.000 0.000


# 10
A plane-wave DFT calculation with PBE-GGA was carried out for a geometry-optimized Sr2AgBrClO2 structure.

Output
E_tot, eV per atom: -4.628

a b c (Å): 8.514 8.514 8.514
angles (deg): 151.26 151.26 41.10
Positions (direct):
Ag: 0.999 0.999 0.000
Br: 0.190 0.190 0.000
Cl: 0.817 0.817 0.000
O: 0.999 0.499 0.500
O: 0.499 0.999 0.500
Sr: 0.392 0.392 0.000
Sr: 0.604 0.604 0.000


# 11
A plane-wave DFT calculation with PBE-GGA was carried out for a geometry-optimized GdY2In3Pd3 structure.

Output
E_tot, eV per atom: -5.416

a b c (Å): 3.871 7.707 7.707
angles (deg): 119.95 90.00 90.00
Positions (direct):
Gd: 0.000 0.591 0.591
In: 0.500 0.742 0.002
In: 0.500 0.256 0.256
In: 0.500 0.002 0.742
Pd: 0.500 0.667 0.335
Pd: 0.500 0.335 0.667
Pd: 0.000 0.999 0.999
Y: 0.000 0.409 0.001
Y: 0.000 0.001 0.409


# 12
A plane-wave DFT calculation with PBE-GGA was carried out for a geometry-optimized Re2Ni3 structure.

Output
Energy of formation from the pure elements, eV/atom: 0.06
Energy above the lowest structure with this stoichiometry, eV/atom: 0.000

a b c (Å): 8.957 8.957 4.610
angles (deg): 90.00 90.00 90.00
Positions (direct):
Ni: 0.000 0.000 0.000
Ni: 0.743 0.065 0.000
Ni: 0.935 0.257 0.000
Ni: 0.065 0.743 0.000
Ni: 0.257 0.935 0.000
Ni: 0.683 0.317 0.250
Ni: 0.317 0.683 0.250
Ni: 0.183 0.183 0.250
Ni: 0.817 0.817 0.250
Ni: 0.435 0.243 0.500
Ni: 0.243 0.435 0.500
Ni: 0.500 0.500 0.500
Ni: 0.757 0.565 0.500
Ni: 0.565 0.757 0.500
Ni: 0.183 0.183 0.750
Ni: 0.817 0.817 0.750
Ni: 0.683 0.317 0.750
Ni: 0.317 0.683 0.750
Re: 0.466 0.135 0.000
Re: 0.401 0.401 0.000
Re: 0.135 0.466 0.000
Re: 0.865 0.534 0.000
Re: 0.599 0.599 0.000
Re: 0.534 0.865 0.000
Re: 0.635 0.034 0.500
Re: 0.901 0.099 0.500
Re: 0.966 0.365 0.500
Re: 0.034 0.635 0.500
Re: 0.099 0.901 0.500
Re: 0.365 0.966 0.500